Nd5PaS6: optimized geometry, PBE.

## Properties
- Crystal system: monoclinic
- Formation energy from raw total energies: -187.0 kJ/mol of atoms

a b c (Å): 6.997 12.097 6.994
angles (deg): 90.00 109.46 90.00
Space group C2/m (No. 12)
Symmetry-distinct sites (fractional):
Nd1 0.000 0.000 0.000 (multiplicity 2)
Nd2 0.000 0.166 0.500 (multiplicity 4)
Nd3 0.000 0.326 0.000 (multiplicity 4)
Pa1 0.000 0.500 0.500 (multiplicity 2)
S1 0.239 0.500 0.250 (multiplicity 4)
S2 0.242 0.338 0.742 (multiplicity 8)

=====

Nd2Pa2S7: optimized geometry, PBE.

## Properties
- Crystal system: orthorhombic
- Formation energy from raw total energies: -175.9 kJ/mol of atoms

a b c (Å): 3.979 14.280 8.675
angles (deg): 90.00 90.00 90.00
Space group Imm2 (No. 44)
Symmetry-distinct sites (fractional):
Nd1 0.000 0.239 0.000 (multiplicity 4)
Pa1 0.000 0.000 0.746 (multiplicity 2)
Pa2 0.000 0.500 0.797 (multiplicity 2)
S1 0.000 0.000 0.072 (multiplicity 2)
S2 0.000 0.106 0.475 (multiplicity 4)
S3 0.000 0.320 0.701 (multiplicity 4)
S4 0.000 0.370 0.302 (multiplicity 4)